Entry 1:
The following is a PBE calculation of ZrFeHg2 after structural relaxation, from the Open Quantum Materials Database.

- DFT formation energy (eV per atom) = 0.198
- E (eV/cell) = -16.66

Cell lengths 4.766, 4.766, 4.766 Å; angles 60.00, 60.00, 60.00 degrees
Each line ends with the local moment (μB).
Fractional coordinates of all 4 atoms:
Fe: 0.250 0.250 0.250  2.47
Hg: 0.000 0.000 0.000  0.01
Hg: 0.750 0.750 0.750  0.01
Zr: 0.500 0.500 0.500  -0.38

Entry 2:
The following is a PBE calculation of ZrFe2Hg after structural relaxation, from the Open Quantum Materials Database.

- DFT formation energy (eV per atom) = 0.211
- E (eV/cell) = -24.62

Cell lengths 4.558, 4.558, 4.558 Å; angles 60.00, 60.00, 60.00 degrees
Each line ends with the local moment (μB).
Fractional coordinates of all 4 atoms:
Fe: 0.000 0.000 0.000  2.72
Fe: 0.250 0.250 0.250  2.28
Hg: 0.750 0.750 0.750  -0.04
Zr: 0.500 0.500 0.500  -0.31

Entry 3:
The following is a PBE calculation of Ho5Fe4 after structural relaxation, from the Open Quantum Materials Database.

- DFT formation energy (eV per atom) = 0.044
- E (eV/cell) = -222.88

Cell lengths 7.085, 14.641, 7.372 Å; angles 90.00, 90.00, 90.00 degrees
Each line ends with the local moment (μB).
Fractional coordinates of all 36 atoms:
Fe: 0.133 0.035 0.021  1.70
Fe: 0.133 0.465 0.021  1.71
Fe: 0.520 0.250 0.062  1.54
Fe: 0.245 0.750 0.122  1.79
Fe: 0.745 0.750 0.378  1.79
Fe: 0.020 0.250 0.438  1.54
Fe: 0.633 0.035 0.479  1.69
Fe: 0.633 0.465 0.479  1.69
Fe: 0.367 0.535 0.521  1.69
Fe: 0.367 0.965 0.521  1.69
Fe: 0.980 0.750 0.562  1.54
Fe: 0.255 0.250 0.622  1.79
Fe: 0.755 0.250 0.878  1.79
Fe: 0.480 0.750 0.938  1.54
Fe: 0.867 0.535 0.979  1.71
Fe: 0.867 0.965 0.979  1.70
Ho: 0.858 0.750 0.027  -0.23
Ho: 0.530 0.590 0.176  -0.32
Ho: 0.530 0.910 0.176  -0.33
Ho: 0.810 0.125 0.182  -0.31
Ho: 0.810 0.375 0.182  -0.30
Ho: 0.310 0.125 0.318  -0.30
Ho: 0.310 0.375 0.318  -0.30
Ho: 0.030 0.590 0.324  -0.32
Ho: 0.030 0.910 0.324  -0.32
Ho: 0.358 0.750 0.473  -0.24
Ho: 0.642 0.250 0.527  -0.24
Ho: 0.970 0.090 0.676  -0.32
Ho: 0.970 0.410 0.676  -0.32
Ho: 0.690 0.625 0.682  -0.30
Ho: 0.690 0.875 0.682  -0.30
Ho: 0.190 0.625 0.818  -0.30
Ho: 0.190 0.875 0.818  -0.31
Ho: 0.470 0.090 0.824  -0.33
Ho: 0.470 0.410 0.824  -0.32
Ho: 0.142 0.250 0.973  -0.23

Entry 4:
The following is a PBE calculation of Ho3Fe29 after structural relaxation, from the Open Quantum Materials Database.

- DFT formation energy (eV per atom) = -0.011
- E (eV/cell) = -255.03

Cell lengths 6.350, 6.350, 10.351 Å; angles 94.77, 94.77, 82.47 degrees
Each line ends with the local moment (μB).
Fractional coordinates of all 32 atoms:
Fe: 0.500 0.000 0.000  1.74
Fe: 0.642 0.358 0.000  2.52
Fe: 0.000 0.500 0.000  1.75
Fe: 0.358 0.642 0.000  2.52
Fe: 0.722 0.722 0.108  2.18
Fe: 0.291 0.291 0.141  2.52
Fe: 0.692 0.125 0.198  2.25
Fe: 0.125 0.692 0.198  2.25
Fe: 0.902 0.407 0.198  1.79
Fe: 0.407 0.902 0.198  1.79
Fe: 0.520 0.520 0.254  2.55
Fe: 0.093 0.093 0.293  2.18
Fe: 0.462 0.163 0.380  2.31
Fe: 0.163 0.462 0.380  2.32
Fe: 0.813 0.313 0.405  2.08
Fe: 0.313 0.813 0.405  2.08
Fe: 0.500 0.500 0.500  1.96
Fe: 0.687 0.187 0.595  2.08
Fe: 0.187 0.687 0.595  2.08
Fe: 0.837 0.538 0.620  2.32
Fe: 0.538 0.837 0.620  2.31
Fe: 0.907 0.907 0.707  2.18
Fe: 0.480 0.480 0.746  2.55
Fe: 0.593 0.098 0.802  1.79
Fe: 0.098 0.593 0.802  1.79
Fe: 0.875 0.308 0.802  2.25
Fe: 0.308 0.875 0.802  2.25
Fe: 0.709 0.709 0.859  2.52
Fe: 0.278 0.278 0.892  2.18
Ho: 0.000 0.000 0.000  -0.45
Ho: 0.812 0.812 0.402  -0.43
Ho: 0.188 0.188 0.598  -0.43

Entry 5:
The following is a PBE calculation of HoFe2 after structural relaxation, from the Open Quantum Materials Database.

- DFT formation energy (eV per atom) = 1.147
- E (eV/cell) = -35.50

Cell lengths 4.917, 4.917, 5.260 Å; angles 90.00, 90.00, 90.00 degrees
Each line ends with the local moment (μB).
Fractional coordinates of all 6 atoms:
Fe: 0.352 0.352 0.000  2.42
Fe: 0.648 0.648 0.000  2.42
Fe: 0.852 0.148 0.500  2.30
Fe: 0.148 0.852 0.500  2.30
Ho: 0.000 0.000 0.000  -0.30
Ho: 0.500 0.500 0.500  -0.27

Entry 6:
The following is a PBE calculation of HoFe12 after structural relaxation, from the Open Quantum Materials Database.

- DFT formation energy (eV per atom) = -0.001
- E (eV/cell) = -104.30

Cell lengths 6.323, 6.323, 6.323 Å; angles 97.67, 97.67, 137.14 degrees
Each line ends with the local moment (μB).
Fractional coordinates of all 13 atoms:
Fe: 0.500 0.000 0.000  1.64
Fe: 0.000 0.500 0.000  1.66
Fe: 0.726 0.500 0.226  2.10
Fe: 0.500 0.726 0.226  2.10
Fe: 0.359 0.000 0.359  2.38
Fe: 0.000 0.359 0.359  2.38
Fe: 0.000 0.000 0.500  1.65
Fe: 0.500 0.500 0.500  1.65
Fe: 0.641 0.000 0.641  2.38
Fe: 0.000 0.641 0.641  2.38
Fe: 0.500 0.274 0.774  2.10
Fe: 0.274 0.500 0.774  2.10
Ho: 0.000 0.000 0.000  -0.43

Entry 7:
The following is a PBE calculation of Ho2Fe after structural relaxation, from the Open Quantum Materials Database.

- DFT formation energy (eV per atom) = 1.343
- E (eV/cell) = -26.87

Cell lengths 5.866, 5.866, 5.866 Å; angles 60.00, 60.00, 60.00 degrees
Fractional coordinates of all 6 atoms:
Fe: 0.000 0.000 0.000
Fe: 0.250 0.250 0.250
Ho: 0.625 0.625 0.125
Ho: 0.625 0.125 0.625
Ho: 0.125 0.625 0.625
Ho: 0.625 0.625 0.625

Entry 8:
The following is a PBE calculation of Ho2Fe17 after structural relaxation, from the Open Quantum Materials Database.

- DFT formation energy (eV per atom) = -0.017
- E (eV/cell) = -301.45

Cell lengths 8.350, 8.351, 8.240 Å; angles 90.00, 90.00, 120.00 degrees
Each line ends with the local moment (μB).
Fractional coordinates of all 38 atoms:
Fe: 0.500 0.000 0.000  1.90
Fe: 0.000 0.500 0.000  1.89
Fe: 0.500 0.500 0.000  1.91
Fe: 0.331 0.166 0.014  2.12
Fe: 0.834 0.166 0.014  2.12
Fe: 0.834 0.669 0.014  2.11
Fe: 0.333 0.667 0.108  2.56
Fe: 0.036 0.365 0.250  2.32
Fe: 0.329 0.365 0.250  2.32
Fe: 0.036 0.671 0.250  2.33
Fe: 0.635 0.671 0.250  2.31
Fe: 0.329 0.964 0.250  2.33
Fe: 0.635 0.964 0.250  2.31
Fe: 0.333 0.667 0.392  2.56
Fe: 0.331 0.166 0.486  2.12
Fe: 0.834 0.166 0.486  2.12
Fe: 0.834 0.669 0.486  2.12
Fe: 0.500 0.000 0.500  1.90
Fe: 0.000 0.500 0.500  1.89
Fe: 0.500 0.500 0.500  1.91
Fe: 0.166 0.834 0.514  2.12
Fe: 0.669 0.834 0.514  2.12
Fe: 0.166 0.331 0.514  2.12
Fe: 0.667 0.333 0.608  2.56
Fe: 0.365 0.036 0.750  2.31
Fe: 0.671 0.036 0.750  2.33
Fe: 0.365 0.329 0.750  2.31
Fe: 0.964 0.329 0.750  2.33
Fe: 0.671 0.635 0.750  2.32
Fe: 0.964 0.635 0.750  2.32
Fe: 0.667 0.333 0.892  2.56
Fe: 0.166 0.331 0.986  2.11
Fe: 0.166 0.834 0.986  2.12
Fe: 0.669 0.834 0.986  2.12
Ho: 0.000 0.000 0.250  -0.42
Ho: 0.667 0.333 0.250  -0.44
Ho: 0.000 0.000 0.750  -0.42
Ho: 0.333 0.667 0.750  -0.44

Entry 9:
The following is a PBE calculation of HoFe2 after structural relaxation, from the Open Quantum Materials Database.

- DFT formation energy (eV per atom) = -0.096
- E (eV/cell) = -42.97

Cell lengths 5.079, 5.079, 5.079 Å; angles 60.00, 60.00, 60.00 degrees
Each line ends with the local moment (μB).
Fractional coordinates of all 6 atoms:
Fe: 0.625 0.625 0.125  1.93
Fe: 0.625 0.125 0.625  1.99
Fe: 0.125 0.625 0.625  1.50
Fe: 0.625 0.625 0.625  1.91
Ho: 0.000 0.000 0.000  -0.56
Ho: 0.250 0.250 0.250  -0.56

Entry 10:
The following is a PBE calculation of HoFe2 after structural relaxation, from the Open Quantum Materials Database.

- DFT formation energy (eV per atom) = -0.077
- E (eV/cell) = -85.70

Cell lengths 5.117, 5.117, 8.276 Å; angles 90.00, 90.00, 120.00 degrees
Each line ends with the local moment (μB).
Fractional coordinates of all 12 atoms:
Fe: 0.000 0.000 0.000  1.96
Fe: 0.165 0.331 0.250  1.97
Fe: 0.165 0.835 0.250  2.06
Fe: 0.669 0.835 0.250  1.78
Fe: 0.000 0.000 0.500  1.95
Fe: 0.331 0.165 0.750  1.78
Fe: 0.835 0.165 0.750  2.06
Fe: 0.835 0.669 0.750  1.97
Ho: 0.667 0.333 0.062  -0.59
Ho: 0.667 0.333 0.438  -0.58
Ho: 0.333 0.667 0.562  -0.57
Ho: 0.333 0.667 0.938  -0.59

Entry 11:
The following is a PBE calculation of Ho8Fe after structural relaxation, from the Open Quantum Materials Database.

- DFT formation energy (eV per atom) = 0.037
- E (eV/cell) = -44.59

Cell lengths 8.966, 8.966, 3.646 Å; angles 90.00, 90.00, 120.00 degrees
Each line ends with the local moment (μB).
Fractional coordinates of all 9 atoms:
Fe: 0.000 0.000 0.000  1.39
Ho: 0.619 0.000 0.000  0.00
Ho: 0.381 0.381 0.000  0.00
Ho: 0.000 0.619 0.000  0.04
Ho: 0.238 0.000 0.500  -0.07
Ho: 0.000 0.238 0.500  -0.06
Ho: 0.667 0.333 0.500  0.09
Ho: 0.333 0.667 0.500  0.09
Ho: 0.762 0.762 0.500  -0.07

Entry 12:
The following is a PBE calculation of Ho2Fe after structural relaxation, from the Open Quantum Materials Database.

- DFT formation energy (eV per atom) = 1.106
- E (eV/cell) = -28.29

Cell lengths 7.698, 7.698, 7.698 Å; angles 60.00, 60.00, 60.00 degrees
Fractional coordinates of all 6 atoms:
Fe: 0.250 0.250 0.250
Fe: 0.500 0.500 0.500
Ho: 0.375 0.875 0.375
Ho: 0.375 0.375 0.375
Ho: 0.875 0.375 0.375
Ho: 0.375 0.375 0.875

Entry 13:
The following is a PBE calculation of HoFe after structural relaxation, from the Open Quantum Materials Database.

- DFT formation energy (eV per atom) = 1.472
- E (eV/cell) = -9.94

Cell lengths 4.227, 4.227, 4.227 Å; angles 60.00, 60.00, 60.00 degrees
Each line ends with the local moment (μB).
Fractional coordinates of all 2 atoms:
Fe: 0.000 0.000 0.000  1.77
Ho: 0.250 0.250 0.250  -0.30

Entry 14:
The following is a PBE calculation of HoFe after structural relaxation, from the Open Quantum Materials Database.

- DFT formation energy (eV per atom) = 0.462
- E (eV/cell) = -11.96

Cell lengths 3.441, 3.441, 4.007 Å; angles 90.00, 90.00, 120.00 degrees
Each line ends with the local moment (μB).
Fractional coordinates of all 2 atoms:
Fe: 0.667 0.333 0.750  2.06
Ho: 0.333 0.667 0.250  -0.42

Entry 15:
The following is a PBE calculation of HoFe after structural relaxation, from the Open Quantum Materials Database.

- DFT formation energy (eV per atom) = 0.989
- E (eV/cell) = -21.82

Cell lengths 4.687, 4.687, 5.467 Å; angles 90.00, 90.00, 120.00 degrees
Each line ends with the local moment (μB).
Fractional coordinates of all 4 atoms:
Fe: 0.333 0.667 0.437  2.10
Fe: 0.000 0.000 0.937  2.10
Ho: 0.000 0.000 0.438  -0.34
Ho: 0.333 0.667 0.938  -0.35

Entry 16:
The following is a PBE calculation of Ho7FeI12 after structural relaxation, from the Open Quantum Materials Database.

- E (eV/cell) = -82.11

Cell lengths 9.690, 9.690, 9.690 Å; angles 106.94, 106.94, 106.94 degrees
Each line ends with the local moment (μB).
Fractional coordinates of all 20 atoms:
Fe: 0.500 0.500 0.500  0.09
Ho: 0.000 0.000 0.000  0.01
Ho: 0.409 0.478 0.212  -0.12
Ho: 0.478 0.212 0.409  -0.13
Ho: 0.212 0.409 0.478  -0.13
Ho: 0.788 0.591 0.522  -0.13
Ho: 0.522 0.788 0.591  -0.13
Ho: 0.591 0.522 0.788  -0.12
I: 0.340 0.113 0.036  0.00
I: 0.036 0.340 0.113  0.00
I: 0.726 0.572 0.178  -0.01
I: 0.428 0.822 0.274  0.00
I: 0.113 0.036 0.340  -0.01
I: 0.822 0.274 0.428  -0.01
I: 0.178 0.726 0.572  -0.01
I: 0.887 0.964 0.660  -0.01
I: 0.572 0.178 0.726  0.00
I: 0.274 0.428 0.822  -0.01
I: 0.964 0.660 0.887  0.00
I: 0.660 0.887 0.964  0.00

Entry 17:
The following is a PBE calculation of HoInFe after structural relaxation, from the Open Quantum Materials Database.

- E (eV/cell) = -15.19

Cell lengths 4.588, 4.588, 4.588 Å; angles 60.00, 60.00, 60.00 degrees
Each line ends with the local moment (μB).
Fractional coordinates of all 3 atoms:
Fe: 0.000 0.000 0.000  1.69
Ho: 0.250 0.250 0.250  -0.20
In: 0.750 0.750 0.750  -0.08

Entry 18:
The following is a PBE calculation of HoInFeNi after structural relaxation, from the Open Quantum Materials Database.

- energy above the most stable polymorph in this dataset (meV/atom) = 92
- E (eV/cell) = -44.32

Cell lengths 5.027, 4.019, 7.137 Å; angles 90.00, 90.00, 90.00 degrees
Each line ends with the local moment (μB).
Fractional coordinates of all 8 atoms:
Fe: 0.250 0.000 0.408  2.23
Fe: 0.750 0.000 0.592  2.23
Ho: 0.750 0.000 0.218  -0.12
Ho: 0.250 0.000 0.782  -0.12
In: 0.250 0.500 0.145  -0.02
In: 0.750 0.500 0.855  -0.02
Ni: 0.000 0.500 0.500  0.47
Ni: 0.500 0.500 0.500  0.41

Entry 19:
The following is a PBE calculation of HoInFeNi after structural relaxation, from the Open Quantum Materials Database.

- energy above the most stable polymorph in this dataset (meV/atom) = 0
- E (eV/cell) = -45.06

Cell lengths 4.973, 4.037, 7.173 Å; angles 90.00, 90.00, 90.00 degrees
Each line ends with the local moment (μB).
Fractional coordinates of all 8 atoms:
Fe: 0.000 0.000 0.000  2.38
Fe: 0.500 0.000 0.000  2.39
Ho: 0.250 0.500 0.279  -0.13
Ho: 0.750 0.500 0.721  -0.13
In: 0.750 0.000 0.357  -0.01
In: 0.250 0.000 0.643  -0.01
Ni: 0.750 0.500 0.106  0.31
Ni: 0.250 0.500 0.894  0.31

Entry 20:
The following is a PBE calculation of HoInFeS3 after structural relaxation, from the Open Quantum Materials Database.

- E (eV/cell) = -67.89

Cell lengths 7.356, 7.356, 10.329 Å; angles 90.00, 90.00, 30.82 degrees
Each line ends with the local moment (μB).
Fractional coordinates of all 12 atoms:
Fe: 0.470 0.470 0.250  3.17
Fe: 0.530 0.530 0.750  3.18
Ho: 0.000 0.000 0.000  0.01
Ho: 0.000 0.000 0.500  0.01
In: 0.751 0.751 0.250  0.02
In: 0.249 0.249 0.750  0.02
S: 0.376 0.376 0.070  0.12
S: 0.063 0.063 0.250  0.14
S: 0.376 0.376 0.430  0.12
S: 0.624 0.624 0.570  0.12
S: 0.937 0.937 0.750  0.14
S: 0.624 0.624 0.930  0.12